# PBE-GGA Rb2AuI3, relaxed
data_Rb2AuI3
_symmetry_space_group_name_H-M 'P n m a'
_symmetry_Int_Tables_number 62
_symmetry_space_group_name_Hall '-P 2ac 2n'
_cell_length_a 10.067
_cell_length_b 5.892
_cell_length_c 19.421
_cell_angle_alpha 90.00
_cell_angle_beta 90.00
_cell_angle_gamma 90.00
loop_
_atom_site_label
_atom_site_type_symbol
_atom_site_fract_x
_atom_site_fract_y
_atom_site_fract_z
Rb1 Rb 0.132 0.250 0.211
Rb2 Rb 0.176 0.750 0.450
Au1 Au 0.208 0.250 0.656
I1 I 0.009 0.750 0.616
I2 I 0.117 0.250 0.782
I3 I 0.149 0.750 0.044
# ρ, g cm⁻³: 4.3
# Polymorph energy (0 for the lowest one), eV per formula unit: 0.00
# Total DFT energy (no corrections), eV per cell: -63.4

=====

# PBE-GGA KPuO4, relaxed
data_KPuO4
_symmetry_space_group_name_H-M 'P 4/m m m'
_symmetry_Int_Tables_number 123
_symmetry_space_group_name_Hall '-P 4 2'
_cell_length_a 3.635
_cell_length_b 3.635
_cell_length_c 6.463
_cell_angle_alpha 90.00
_cell_angle_beta 90.00
_cell_angle_gamma 90.00
loop_
_atom_site_label
_atom_site_type_symbol
_atom_site_fract_x
_atom_site_fract_y
_atom_site_fract_z
K1 K 0.000 0.000 0.000
Pu1 Pu 0.500 0.500 0.500
O1 O 0.000 0.500 0.314
# ρ, g cm⁻³: 6.7
# Polymorph energy (0 for the lowest one), eV per formula unit: 2.02
# Total DFT energy (no corrections), eV per cell: -46.9

=====

Q: What is the formula in the first record?
A: Rb2AuI3